w:
DFT (PBE) results for a relaxed ScPtN2 crystal.

Total magnetic moment ... 0.000 μB/cell

Cell lengths 4.5777, 4.5777, 10.5399 Å; angles 90.00, 90.00, 90.00 degrees
Closest atoms and distances in Å follow each position.
Positions (direct):
Sc (0.0000, 0.0000, 0.0000)  4 N 2.12
Sc (0.0000, 0.5000, 0.2500)  4 N 2.12
Sc (0.5000, 0.0000, 0.7500)  4 N 2.12
Sc (0.5000, 0.5000, 0.5000)  4 N 2.12
Pt (0.0000, 0.0000, 0.5000)  4 N 2.06
Pt (0.0000, 0.5000, 0.7500)  4 N 2.06
Pt (0.5000, 0.0000, 0.2500)  4 N 2.06
Pt (0.5000, 0.5000, 0.0000)  4 N 2.06
N (0.2377, 0.2500, 0.6250)  2 Pt 2.06, 2 Sc 2.12
N (0.2500, 0.7377, 0.8750)  2 Pt 2.06, 2 Sc 2.12
N (0.2500, 0.7623, 0.3750)  2 Pt 2.06, 2 Sc 2.12
N (0.2623, 0.2500, 0.1250)  2 Pt 2.06, 2 Sc 2.12
N (0.7377, 0.7500, 0.1250)  2 Pt 2.06, 2 Sc 2.12
N (0.7500, 0.2377, 0.3750)  2 Pt 2.06, 2 Sc 2.12
N (0.7500, 0.2623, 0.8750)  2 Pt 2.06, 2 Sc 2.12
N (0.7623, 0.7500, 0.6250)  2 Pt 2.06, 2 Sc 2.12

---

x:
DFT (PBE) results for a relaxed ScPtN2 crystal.

Total magnetic moment ... 0.000 μB/cell

Cell lengths 5.5987, 5.5987, 5.5987 Å; angles 90.00, 90.00, 90.00 degrees
Closest atoms and distances in Å follow each position.
Positions (direct):
Sc (0.0000, 0.0000, 0.0000)  8 N 2.42
Sc (0.0000, 0.5000, 0.5000)  8 N 2.42
Sc (0.5000, 0.0000, 0.5000)  8 N 2.42
Sc (0.5000, 0.5000, 0.0000)  8 N 2.42
Pt (0.0000, 0.0000, 0.5000)  8 N 2.42
Pt (0.0000, 0.5000, 0.0000)  8 N 2.42
Pt (0.5000, 0.0000, 0.0000)  8 N 2.42
Pt (0.5000, 0.5000, 0.5000)  8 N 2.42
N (0.2500, 0.2500, 0.2500)  4 Sc 2.42, 4 Pt 2.42
N (0.2500, 0.2500, 0.7500)  4 Sc 2.42, 4 Pt 2.42
N (0.2500, 0.7500, 0.2500)  4 Sc 2.42, 4 Pt 2.42
N (0.2500, 0.7500, 0.7500)  4 Sc 2.42, 4 Pt 2.42
N (0.7500, 0.2500, 0.2500)  4 Sc 2.42, 4 Pt 2.42
N (0.7500, 0.2500, 0.7500)  4 Sc 2.42, 4 Pt 2.42
N (0.7500, 0.7500, 0.2500)  4 Sc 2.42, 4 Pt 2.42
N (0.7500, 0.7500, 0.7500)  4 Sc 2.42, 4 Pt 2.42

---

w comes first in stability; the runner-up is 479 meV/atom higher.

---

w:
DFT (PBE) results for a relaxed ScPtSeN2 crystal.

Total magnetic moment ... 0.429 μB/cell

Cell lengths 3.9145, 3.9145, 5.2604 Å; angles 90.00, 90.00, 90.00 degrees
Closest atoms and distances in Å follow each position.
Positions (direct):
Sc (0.0000, 0.0000, 0.0000)  4 Se 2.77
Pt (0.5000, 0.5000, 0.5000)  4 N 1.96
Se (0.5000, 0.5000, 0.0000)  2 Pt 2.63, 4 Sc 2.77
N (0.0000, 0.5000, 0.5000)  2 Pt 1.96
N (0.5000, 0.0000, 0.5000)  2 Pt 1.96

---

x:
DFT (PBE) results for a relaxed ScPtSeN2 crystal.

Total magnetic moment ... 3.106 μB/cell

Cell lengths 4.0477, 4.0477, 5.5200 Å; angles 90.00, 90.00, 90.00 degrees
Closest atoms and distances in Å follow each position.
Positions (direct):
Sc (0.0000, 0.0000, 0.0000)  4 N 2.02
Pt (0.5000, 0.5000, 0.5000)  4 Se 2.86
Se (0.0000, 0.0000, 0.5000)  2 Sc 2.76, 4 Pt 2.86
N (0.0000, 0.5000, 0.0000)  2 Sc 2.02
N (0.5000, 0.0000, 0.0000)  2 Sc 2.02

---

w comes first in stability; the runner-up is 346 meV/atom higher.

---

w:
DFT (PBE) results for a relaxed ScTe2PtN crystal.

Total magnetic moment ... 0.158 μB/cell

Cell lengths 5.6006, 5.6006, 3.7481 Å; angles 90.00, 90.00, 90.00 degrees
Closest atoms and distances in Å follow each position.
Positions (direct):
Sc (0.0000, 0.0000, 0.0000)  2 N 1.87
Te (0.0000, 0.5000, 0.0000)  2 Sc 2.80
Te (0.5000, 0.0000, 0.0000)  2 Sc 2.80
Pt (0.5000, 0.5000, 0.5000)  8 Te 3.37, 2 Pt 3.75
N (0.0000, 0.0000, 0.5000)  2 Sc 1.87

---

x:
DFT (PBE) results for a relaxed ScTe2PtN crystal.

Total magnetic moment ... 0.147 μB/cell

Cell lengths 5.5670, 5.5670, 3.7259 Å; angles 90.00, 90.00, 90.00 degrees
Closest atoms and distances in Å follow each position.
Positions (direct):
Sc (0.0000, 0.0000, 0.0000)  8 Te 3.35, 2 Sc 3.73
Te (0.0000, 0.5000, 0.5000)  2 Pt 2.78
Te (0.5000, 0.0000, 0.5000)  2 Pt 2.78
Pt (0.5000, 0.5000, 0.5000)  2 N 1.86
N (0.5000, 0.5000, 0.0000)  2 Pt 1.86

---

x comes first in stability; the runner-up is 402 meV/atom higher.

---

w:
DFT (PBE) results for a relaxed PtSe3N crystal.

Total magnetic moment ... 0.000 μB/cell

Cell lengths 4.3619, 4.3619, 4.3619 Å; angles 90.00, 90.00, 90.00 degrees
Closest atoms and distances in Å follow each position.
Positions (direct):
Pt (0.0000, 0.0000, 0.0000)  12 Se 3.08
Se (0.0000, 0.5000, 0.5000)  2 N 2.18
Se (0.5000, 0.0000, 0.5000)  2 N 2.18
Se (0.5000, 0.5000, 0.0000)  2 N 2.18
N (0.5000, 0.5000, 0.5000)  6 Se 2.18

---

x:
DFT (PBE) results for a relaxed PtSe3N crystal.

Total magnetic moment ... 0.000 μB/cell

Cell lengths 4.9274, 4.9274, 4.9274 Å; angles 90.00, 90.00, 90.00 degrees
Closest atoms and distances in Å follow each position.
Positions (direct):
Pt (0.0000, 0.0000, 0.0000)  6 Se 2.46
Se (0.0000, 0.0000, 0.5000)  2 Pt 2.46
Se (0.0000, 0.5000, 0.0000)  2 Pt 2.46
Se (0.5000, 0.0000, 0.0000)  2 Pt 2.46
N (0.5000, 0.5000, 0.5000)  12 Se 3.48

---

w comes first in stability; the runner-up is 633 meV/atom higher.

---

w:
DFT (PBE) results for a relaxed SiPtSe2N crystal.

Total magnetic moment ... 0.000 μB/cell

Cell lengths 5.0727, 5.0727, 3.2009 Å; angles 90.00, 90.00, 90.00 degrees
Closest atoms and distances in Å follow each position.
Positions (direct):
Si (0.0000, 0.0000, 0.0000)  2 N 1.60
Pt (0.5000, 0.5000, 0.5000)  8 Se 3.00, 2 Pt 3.20
Se (0.0000, 0.5000, 0.0000)  2 Si 2.54
Se (0.5000, 0.0000, 0.0000)  2 Si 2.54
N (0.0000, 0.0000, 0.5000)  2 Si 1.60

---

x:
DFT (PBE) results for a relaxed SiPtSe2N crystal.

Total magnetic moment ... 0.000 μB/cell

Cell lengths 5.2264, 5.2264, 3.6723 Å; angles 90.00, 90.00, 90.00 degrees
Closest atoms and distances in Å follow each position.
Positions (direct):
Si (0.0000, 0.0000, 0.0000)  8 Se 3.19
Pt (0.5000, 0.5000, 0.5000)  2 N 1.84
Se (0.0000, 0.5000, 0.5000)  2 Pt 2.61
Se (0.5000, 0.0000, 0.5000)  2 Pt 2.61
N (0.5000, 0.5000, 0.0000)  2 Pt 1.84

---

w comes first in stability; the runner-up is 333 meV/atom higher.

---

w:
DFT (PBE) results for a relaxed SrPtSeN2 crystal.

Total magnetic moment ... 5.142 μB/cell

Cell lengths 4.6292, 4.6292, 6.2312 Å; angles 90.00, 90.00, 90.00 degrees
Closest atoms and distances in Å follow each position.
Positions (direct):
Sr (0.0000, 0.0000, 0.0000)  4 N 2.31
Pt (0.5000, 0.5000, 0.5000)  4 Se 3.27
Se (0.0000, 0.0000, 0.5000)  2 Sr 3.12, 4 Pt 3.27
N (0.0000, 0.5000, 0.0000)  2 Sr 2.31
N (0.5000, 0.0000, 0.0000)  2 Sr 2.31

---

x:
DFT (PBE) results for a relaxed SrPtSeN2 crystal.

Total magnetic moment ... 2.948 μB/cell

Cell lengths 4.1420, 4.1420, 5.3539 Å; angles 90.00, 90.00, 90.00 degrees
Closest atoms and distances in Å follow each position.
Positions (direct):
Sr (0.0000, 0.0000, 0.0000)  4 Se 2.93
Pt (0.5000, 0.5000, 0.5000)  4 N 2.07
Se (0.5000, 0.5000, 0.0000)  2 Pt 2.68, 4 Sr 2.93
N (0.0000, 0.5000, 0.5000)  2 Pt 2.07
N (0.5000, 0.0000, 0.5000)  2 Pt 2.07

---

x comes first in stability; the runner-up is 1485 meV/atom higher.

---

w:
DFT (PBE) results for a relaxed SrPtSe2N crystal.

Total magnetic moment ... 0.000 μB/cell

Cell lengths 5.6728, 5.6728, 4.2913 Å; angles 90.00, 90.00, 90.00 degrees
Closest atoms and distances in Å follow each position.
Positions (direct):
Sr (0.0000, 0.0000, 0.0000)  2 N 2.15
Pt (0.5000, 0.5000, 0.5000)  8 Se 3.56
Se (0.0000, 0.5000, 0.0000)  2 Sr 2.84
Se (0.5000, 0.0000, 0.0000)  2 Sr 2.84
N (0.0000, 0.0000, 0.5000)  2 Sr 2.15

---

x:
DFT (PBE) results for a relaxed SrPtSe2N crystal.

Total magnetic moment ... 0.000 μB/cell

Cell lengths 5.3902, 5.3902, 3.7548 Å; angles 90.00, 90.00, 90.00 degrees
Closest atoms and distances in Å follow each position.
Positions (direct):
Sr (0.0000, 0.0000, 0.0000)  8 Se 3.28
Pt (0.5000, 0.5000, 0.5000)  2 N 1.88
Se (0.0000, 0.5000, 0.5000)  2 Pt 2.70
Se (0.5000, 0.0000, 0.5000)  2 Pt 2.70
N (0.5000, 0.5000, 0.0000)  2 Pt 1.88

---

x comes first in stability; the runner-up is 1863 meV/atom higher.

---

w:
DFT (PBE) results for a relaxed TcPtSe2N crystal.

Total magnetic moment ... 0.000 μB/cell

Cell lengths 4.9704, 4.9704, 3.6588 Å; angles 90.00, 90.00, 90.00 degrees
Closest atoms and distances in Å follow each position.
Positions (direct):
Tc (0.0000, 0.0000, 0.0000)  2 N 1.83
Pt (0.5000, 0.5000, 0.5000)  8 Se 3.09
Se (0.0000, 0.5000, 0.0000)  2 Tc 2.49
Se (0.5000, 0.0000, 0.0000)  2 Tc 2.49
N (0.0000, 0.0000, 0.5000)  2 Tc 1.83

---

x:
DFT (PBE) results for a relaxed TcPtSe2N crystal.

Total magnetic moment ... 3.619 μB/cell

Cell lengths 5.2133, 5.2133, 3.6533 Å; angles 90.00, 90.00, 90.00 degrees
Closest atoms and distances in Å follow each position.
Positions (direct):
Tc (0.0000, 0.0000, 0.0000)  8 Se 3.18
Pt (0.5000, 0.5000, 0.5000)  2 N 1.83
Se (0.0000, 0.5000, 0.5000)  2 Pt 2.61
Se (0.5000, 0.0000, 0.5000)  2 Pt 2.61
N (0.5000, 0.5000, 0.0000)  2 Pt 1.83

---

w comes first in stability; the runner-up is 438 meV/atom higher.

---

w:
DFT (PBE) results for a relaxed TcPtSeN2 crystal.

Total magnetic moment ... 0.000 μB/cell

Cell lengths 3.7625, 3.7625, 5.6330 Å; angles 90.00, 90.00, 90.00 degrees
Closest atoms and distances in Å follow each position.
Positions (direct):
Tc (0.0000, 0.0000, 0.0000)  4 N 1.88
Pt (0.5000, 0.5000, 0.5000)  4 Se 2.66
Se (0.0000, 0.0000, 0.5000)  4 Pt 2.66, 2 Tc 2.82
N (0.0000, 0.5000, 0.0000)  2 Tc 1.88
N (0.5000, 0.0000, 0.0000)  2 Tc 1.88

---

x:
DFT (PBE) results for a relaxed TcPtSeN2 crystal.

Total magnetic moment ... 3.675 μB/cell

Cell lengths 3.7225, 3.7225, 8.1607 Å; angles 90.00, 90.00, 90.00 degrees
Closest atoms and distances in Å follow each position.
Positions (direct):
Tc (0.0000, 0.0000, 0.0000)  4 Se 2.63
Pt (0.5000, 0.5000, 0.5000)  4 N 1.86
Se (0.5000, 0.5000, 0.0000)  4 Tc 2.63
N (0.0000, 0.5000, 0.5000)  2 Pt 1.86
N (0.5000, 0.0000, 0.5000)  2 Pt 1.86

---

w comes first in stability; the runner-up is 668 meV/atom higher.

---

w:
DFT (PBE) results for a relaxed TiPtSeN2 crystal.

Total magnetic moment ... 1.634 μB/cell

Cell lengths 3.7231, 3.7231, 7.8208 Å; angles 90.00, 90.00, 90.00 degrees
Closest atoms and distances in Å follow each position.
Positions (direct):
Ti (0.0000, 0.0000, 0.0000)  4 Se 2.63
Pt (0.5000, 0.5000, 0.5000)  4 N 1.86
Se (0.5000, 0.5000, 0.0000)  4 Ti 2.63
N (0.0000, 0.5000, 0.5000)  2 Pt 1.86
N (0.5000, 0.0000, 0.5000)  2 Pt 1.86

---

x:
DFT (PBE) results for a relaxed TiPtSeN2 crystal.

Total magnetic moment ... 0.000 μB/cell

Cell lengths 3.8103, 3.8103, 5.5178 Å; angles 90.00, 90.00, 90.00 degrees
Closest atoms and distances in Å follow each position.
Positions (direct):
Ti (0.0000, 0.0000, 0.0000)  4 N 1.91
Pt (0.5000, 0.5000, 0.5000)  4 Se 2.69
Se (0.0000, 0.0000, 0.5000)  4 Pt 2.69, 2 Ti 2.76
N (0.0000, 0.5000, 0.0000)  2 Ti 1.91
N (0.5000, 0.0000, 0.0000)  2 Ti 1.91

---

x comes first in stability; the runner-up is 294 meV/atom higher.

---

w:
DFT (PBE) results for a relaxed TlPtSe2N crystal.

Total magnetic moment ... 0.000 μB/cell

Cell lengths 5.4151, 5.4151, 3.6965 Å; angles 90.00, 90.00, 90.00 degrees
Closest atoms and distances in Å follow each position.
Positions (direct):
Tl (0.0000, 0.0000, 0.0000)  8 Se 3.28
Pt (0.5000, 0.5000, 0.5000)  2 N 1.85
Se (0.0000, 0.5000, 0.5000)  2 Pt 2.71
Se (0.5000, 0.0000, 0.5000)  2 Pt 2.71
N (0.5000, 0.5000, 0.0000)  2 Pt 1.85

---

x:
DFT (PBE) results for a relaxed TlPtSe2N crystal.

Total magnetic moment ... 0.000 μB/cell

Cell lengths 5.4001, 5.4001, 3.9808 Å; angles 90.00, 90.00, 90.00 degrees
Closest atoms and distances in Å follow each position.
Positions (direct):
Tl (0.0000, 0.0000, 0.0000)  2 N 1.99
Pt (0.5000, 0.5000, 0.5000)  8 Se 3.35
Se (0.0000, 0.5000, 0.0000)  2 Tl 2.70
Se (0.5000, 0.0000, 0.0000)  2 Tl 2.70
N (0.0000, 0.0000, 0.5000)  2 Tl 1.99

---

w comes first in stability; the runner-up is 1374 meV/atom higher.

---

w:
DFT (PBE) results for a relaxed VPtSe2N crystal.

Total magnetic moment ... 0.143 μB/cell

Cell lengths 5.1644, 5.1644, 3.6485 Å; angles 90.00, 90.00, 90.00 degrees
Closest atoms and distances in Å follow each position.
Positions (direct):
V (0.0000, 0.0000, 0.0000)  8 Se 3.16
Pt (0.5000, 0.5000, 0.5000)  2 N 1.82
Se (0.0000, 0.5000, 0.5000)  2 Pt 2.58
Se (0.5000, 0.0000, 0.5000)  2 Pt 2.58
N (0.5000, 0.5000, 0.0000)  2 Pt 1.82

---

x:
DFT (PBE) results for a relaxed VPtSe2N crystal.

Total magnetic moment ... 0.000 μB/cell

Cell lengths 4.9154, 4.9154, 3.5576 Å; angles 90.00, 90.00, 90.00 degrees
Closest atoms and distances in Å follow each position.
Positions (direct):
V (0.0000, 0.0000, 0.0000)  2 N 1.78
Pt (0.5000, 0.5000, 0.5000)  8 Se 3.03
Se (0.0000, 0.5000, 0.0000)  2 V 2.46
Se (0.5000, 0.0000, 0.0000)  2 V 2.46
N (0.0000, 0.0000, 0.5000)  2 V 1.78

---

x comes first in stability; the runner-up is 517 meV/atom higher.

---

w:
DFT (PBE) results for a relaxed YPtSe2N crystal.

Total magnetic moment ... 0.000 μB/cell

Cell lengths 5.2100, 5.2100, 3.7615 Å; angles 90.00, 90.00, 90.00 degrees
Closest atoms and distances in Å follow each position.
Positions (direct):
Y (0.0000, 0.0000, 0.0000)  8 Se 3.21
Pt (0.5000, 0.5000, 0.5000)  2 N 1.88
Se (0.0000, 0.5000, 0.5000)  2 Pt 2.61
Se (0.5000, 0.0000, 0.5000)  2 Pt 2.61
N (0.5000, 0.5000, 0.0000)  2 Pt 1.88

---

x:
DFT (PBE) results for a relaxed YPtSe2N crystal.

Total magnetic moment ... 2.409 μB/cell

Cell lengths 5.4522, 5.4522, 4.2938 Å; angles 90.00, 90.00, 90.00 degrees
Closest atoms and distances in Å follow each position.
Positions (direct):
Y (0.0000, 0.0000, 0.0000)  2 N 2.15
Pt (0.5000, 0.5000, 0.5000)  8 Se 3.47, 4 N 3.86
Se (0.0000, 0.5000, 0.0000)  2 Y 2.73
Se (0.5000, 0.0000, 0.0000)  2 Y 2.73
N (0.0000, 0.0000, 0.5000)  2 Y 2.15

---

w comes first in stability; the runner-up is 993 meV/atom higher.

---

w:
DFT (PBE) results for a relaxed ZnPtSeN2 crystal.

Total magnetic moment ... 0.000 μB/cell

Cell lengths 3.7154, 3.7154, 8.7977 Å; angles 90.00, 90.00, 90.00 degrees
Closest atoms and distances in Å follow each position.
Positions (direct):
Zn (0.0000, 0.0000, 0.0000)  4 Se 2.63
Pt (0.5000, 0.5000, 0.5000)  4 N 1.86
Se (0.5000, 0.5000, 0.0000)  4 Zn 2.63
N (0.0000, 0.5000, 0.5000)  2 Pt 1.86
N (0.5000, 0.0000, 0.5000)  2 Pt 1.86

---

x:
DFT (PBE) results for a relaxed ZnPtSeN2 crystal.

Total magnetic moment ... 3.481 μB/cell

Cell lengths 3.7747, 3.7747, 5.8550 Å; angles 90.00, 90.00, 90.00 degrees
Closest atoms and distances in Å follow each position.
Positions (direct):
Zn (0.0000, 0.0000, 0.0000)  4 N 1.89
Pt (0.5000, 0.5000, 0.5000)  4 Se 2.67
Se (0.0000, 0.0000, 0.5000)  4 Pt 2.67, 2 Zn 2.93
N (0.0000, 0.5000, 0.0000)  2 Zn 1.89
N (0.5000, 0.0000, 0.0000)  2 Zn 1.89

---

w comes first in stability; the runner-up is 645 meV/atom higher.